Computed, not measured: a relaxed Nd4GePb crystal at the PBE level of DFT.

Properties
Density of states at the Fermi level in states/eV per atom: 1.2040
Raw total energy in eV for the cell shown: -60.8
Relative energy among the computed polymorphs in eV per atom: 0.0000
ΔH_f (0 K) in eV per atom: -0.499
Space group: No. 11

Structure (POSCAR):
```
Nd4GePb
1.0
-1.3974 4.6727 3.4443
-6.6621 -1.1042 -1.2050
0.6001 -8.6707 4.6271
Nd Ge Pb
8 2 2
direct
0.6103 0.2500 0.4452
0.3897 0.7500 0.5548
0.6540 0.2500 0.8658
0.3460 0.7500 0.1342
0.9345 0.0139 0.2492
0.0655 0.5139 0.7508
0.9345 0.4861 0.2492
0.0655 0.9861 0.7508
0.2099 0.2500 0.5489
0.7901 0.7500 0.4511
0.3054 0.2500 0.0807
0.6946 0.7500 0.9193
```

---

Computed, not measured: a relaxed La2MgN2Cl2 crystal at the PBE level of DFT.

Properties
Raw total energy in eV for the cell shown: -43.3
Formation energy without anion corrections in eV per atom: -1.640
Space group: No. 139

Structure (POSCAR):
```
La2MgN2Cl2
1.0
-1.9588 -3.1479 1.9008
2.8201 0.0963 3.0655
-4.7523 6.5209 1.3356
La Mg N Cl
2 1 2 2
direct
0.3996 0.3996 0.7992
0.6004 0.6004 0.2008
0.0000 0.0000 0.0000
0.0000 0.5000 0.0000
0.5000 0.0000 0.0000
0.1861 0.1861 0.3722
0.8139 0.8139 0.6278
```

---

Computed, not measured: a relaxed KMg2Te crystal at the PBE level of DFT.

Properties
Density of states at the Fermi level in states/eV per atom: 0.4496
Raw total energy in eV for the cell shown: -8.1
Formation energy without anion corrections in eV per atom: -0.164
Space group: No. 139

Structure (POSCAR):
```
KMg2Te
1.0
6.4052 0.0171 0.0000
2.8755 5.7235 0.0000
-4.6403 -2.8703 3.3549
K Mg Te
1 2 1
direct
0.7500 0.2500 0.5000
0.0000 0.0000 0.0000
0.5000 0.5000 0.0000
0.2500 0.7500 0.5000
```

---

Computed, not measured: a relaxed KInOF2 crystal at the PBE level of DFT.

Properties
Density of states at the Fermi level in states/eV per atom: 1.5808
Raw total energy in eV for the cell shown: -15.7
Relative energy among the computed polymorphs in eV per atom: 1.5921
Formation energy without anion corrections in eV per atom: -0.626
Space group: No. 123

Structure (POSCAR):
```
KInOF2
1.0
4.6456 0.0000 0.0000
0.0000 7.0978 0.0000
0.0000 0.0000 4.6456
K F O In
1 2 1 1
direct
0.0000 0.0000 0.0000
0.0000 0.0000 0.5000
0.5000 0.0000 0.0000
0.5000 0.5000 0.5000
0.0000 0.5000 0.0000
```

---

Computed, not measured: a relaxed ZrPdO2 crystal at the PBE level of DFT.

Properties
Density of states at the Fermi level in states/eV per atom: 0.0000
Raw total energy in eV for the cell shown: -29.3
Relative energy among the computed polymorphs in eV per atom: 0.6050
Formation energy without anion corrections in eV per atom: -1.403
Space group: No. 225

Structure (POSCAR):
```
ZrPdO2
1.0
0.0000 2.8446 2.8446
2.8446 0.0000 2.8446
2.8446 2.8446 0.0000
O Zr Pd
2 1 1
direct
0.2500 0.2500 0.2500
0.7500 0.7500 0.7500
0.0000 0.0000 0.0000
0.5000 0.5000 0.5000
```

---

Computed, not measured: a relaxed Ca4Tm crystal at the PBE level of DFT.

Properties
Density of states at the Fermi level in states/eV per atom: 1.1156
Raw total energy in eV for the cell shown: -9.1
ΔH_f (0 K) in eV per atom: 0.669
Space group: No. 221

Structure (POSCAR):
```
Ca4Tm
1.0
-0.8127 3.6361 4.9363
-3.6861 -4.2687 2.5375
4.8990 -2.6087 2.7281
Ca Tm
4 1
direct
0.0000 0.0000 0.0000
0.5000 0.0000 0.5000
0.0000 0.5000 0.5000
0.5000 0.5000 0.0000
0.5000 0.5000 0.5000
```

---

Repeat the fifth record exactly.
Computed, not measured: a relaxed ZrPdO2 crystal at the PBE level of DFT.

Properties
Density of states at the Fermi level in states/eV per atom: 0.0000
Raw total energy in eV for the cell shown: -29.3
Relative energy among the computed polymorphs in eV per atom: 0.6050
Formation energy without anion corrections in eV per atom: -1.403
Space group: No. 225

Structure (POSCAR):
```
ZrPdO2
1.0
0.0000 2.8446 2.8446
2.8446 0.0000 2.8446
2.8446 2.8446 0.0000
O Zr Pd
2 1 1
direct
0.2500 0.2500 0.2500
0.7500 0.7500 0.7500
0.0000 0.0000 0.0000
0.5000 0.5000 0.5000
```

---

- Which value of raw total energy does entry 4 give?
  -15.7 eV for the cell shown

---

- What is the formula in the fourth record?
  KInOF2

---

- Number 1 is which compound?
  Nd4GePb